# KSrPrFeO6 (PBE+U, optimized geometry)
data_KSrPrFeO6
_chemical_formula_sum 'K1 Sr1 Pr1 Fe1 O6'
_symmetry_space_group_name_H-M 'P 1'
_symmetry_Int_Tables_number 1
_symmetry_space_group_name_Hall 'P 1'
_cell_length_a 5.924
_cell_length_b 5.924
_cell_length_c 5.924
_cell_angle_alpha 60.00
_cell_angle_beta 60.00
_cell_angle_gamma 60.00
loop_
_atom_site_label
_atom_site_fract_x
_atom_site_fract_y
_atom_site_fract_z
_atom_site_occupancy
K1 0.000 0.000 0.000 1
Sr1 0.500 0.500 0.500 1
Pr1 0.750 0.750 0.750 1
Fe1 0.250 0.250 0.250 1
O1 0.026 0.026 0.474 1
O2 0.026 0.474 0.026 1
O3 0.026 0.474 0.474 1
O4 0.474 0.026 0.026 1
O5 0.474 0.026 0.474 1
O6 0.474 0.474 0.026 1
# SG: F-43m, No. 216
# Total energy (eV/atom): -6.12
# Fermi-level density of states (states/eV per atom): 0.440